A) A geometry-optimized AcLaY4 structure, computed with PBE-GGA.

a = 8.8337 Å, b = 8.8337 Å, c = 6.6500 Å
α = 99.69°, β = 99.69°, γ = 118.02°
Last column: nearest neighbours and their distance in Å.
Atoms (fractional coordinates):
Ac 0.0832 0.9168 0.7500  10 Y 3.66-4.07
Ac 0.9168 0.0832 0.2500  10 Y 3.66-4.07
La 0.4932 0.5068 0.2500  2 La 3.33, 6 Y 3.41-3.61
La 0.5068 0.4932 0.7500  2 La 3.33, 6 Y 3.41-3.61
Y 0.0660 0.3453 0.8776  4 Y 3.35-3.69, 1 La 3.61, 1 Ac 3.66
Y 0.2147 0.6017 0.4697  4 Y 3.35-3.55, 2 La 3.41-3.52
Y 0.3453 0.0660 0.3776  4 Y 3.35-3.69, 1 La 3.61, 1 Ac 3.66
Y 0.3983 0.7853 0.0303  4 Y 3.35-3.55, 2 La 3.41-3.52
Y 0.6017 0.2147 0.9697  4 Y 3.35-3.55, 2 La 3.41-3.52
Y 0.6547 0.9340 0.6224  4 Y 3.35-3.69, 1 La 3.61, 1 Ac 3.66
Y 0.7853 0.3983 0.5303  4 Y 3.35-3.55, 2 La 3.41-3.52
Y 0.9340 0.6547 0.1224  4 Y 3.35-3.69, 1 La 3.61, 1 Ac 3.66

## Properties
The calculation puts the volume at 216 Å³/f.u. As for the space-group type: No. 15.

=====

B) A geometry-optimized AcLaY4 structure, computed with PBE-GGA.

a = 6.3485 Å, b = 6.3485 Å, c = 7.3821 Å
α = 106.94°, β = 106.94°, γ = 48.00°
Last column: nearest neighbours and their distance in Å.
Atoms (fractional coordinates):
Ac 0.0000 0.0000 0.0000  10 Y 3.65-3.70, 2 La 3.69
La 0.0000 0.0000 0.5000  10 Y 3.62-3.68, 2 Ac 3.69
Y 0.3295 0.3295 0.6621  7 Y 3.60-3.73, 3 La 3.62-3.68, 2 Ac 3.70
Y 0.3316 0.3316 0.1689  7 Y 3.63-3.73, 3 Ac 3.65-3.69, 2 La 3.66
Y 0.6684 0.6684 0.8311  7 Y 3.63-3.73, 3 Ac 3.65-3.69, 2 La 3.66
Y 0.6705 0.6705 0.3379  7 Y 3.60-3.73, 3 La 3.62-3.68, 2 Ac 3.70

## Properties
The calculation puts the volume at 210 Å³/f.u. As for the space-group type: No. 12.

=====

B) is favored, and the nearest alternative lies 10.0 kJ/mol of atoms above it.

=====

A) A geometry-optimized Ac8La2Y structure, computed with PBE-GGA.

a = 9.1819 Å, b = 9.1819 Å, c = 6.3474 Å
α = 100.53°, β = 100.53°, γ = 86.80°
Last column: nearest neighbours and their distance in Å.
Atoms (fractional coordinates):
Ac 0.0839 0.0839 0.2924  6 Ac 3.62-4.03, 1 La 3.68
Ac 0.1567 0.6419 0.1965  1 La 3.66, 3 Ac 3.66-4.03, 1 Y 3.68
Ac 0.2318 0.2318 0.8852  2 La 3.46-3.80, 1 Y 3.47, 4 Ac 3.62-3.78
Ac 0.3581 0.8434 0.8035  1 La 3.66, 3 Ac 3.66-4.03, 1 Y 3.68
Ac 0.6419 0.1567 0.1965  1 La 3.66, 3 Ac 3.66-4.03, 1 Y 3.68
Ac 0.7682 0.7682 0.1148  2 La 3.46-3.80, 1 Y 3.47, 4 Ac 3.62-3.78
Ac 0.8434 0.3581 0.8035  1 La 3.66, 3 Ac 3.66-4.03, 1 Y 3.68
Ac 0.9161 0.9161 0.7076  6 Ac 3.62-4.03, 1 La 3.68
La 0.3679 0.3679 0.4886  1 Y 3.28, 3 Ac 3.46-3.66, 1 La 3.49
La 0.6321 0.6321 0.5114  1 Y 3.28, 3 Ac 3.46-3.66, 1 La 3.49
Y 0.5000 0.5000 0.0000  2 La 3.28, 2 Ac 3.47

## Properties
The calculation puts the volume at 517 Å³/f.u. As for the space-group type: No. 12.

=====

B) A geometry-optimized Ac8La2Y structure, computed with PBE-GGA.

a = 10.2438 Å, b = 10.2438 Å, c = 10.2438 Å
α = 145.55°, β = 127.72°, γ = 64.13°
Last column: nearest neighbours and their distance in Å.
Atoms (fractional coordinates):
Ac 0.1539 0.3621 0.7918  1 Y 3.56, 3 La 3.73-3.84, 4 Ac 3.76-3.99
Ac 0.1597 0.1597 0.0000  8 Ac 3.84-4.04, 2 La 3.88, 2 Y 4.11
Ac 0.2939 0.0000 0.2939  7 Ac 3.72-3.86, 2 La 3.96, 2 Y 4.03
Ac 0.4297 0.6379 0.7918  1 Y 3.56, 3 La 3.73-3.84, 4 Ac 3.76-3.99
Ac 0.5703 0.3621 0.2082  1 Y 3.56, 3 La 3.73-3.84, 4 Ac 3.76-3.99
Ac 0.7061 0.0000 0.7061  7 Ac 3.72-3.86, 2 La 3.96, 2 Y 4.03
Ac 0.8403 0.8403 0.0000  8 Ac 3.84-4.04, 2 La 3.88, 2 Y 4.11
Ac 0.8461 0.6379 0.2082  1 Y 3.56, 3 La 3.73-3.84, 4 Ac 3.76-3.99
La 0.2987 0.7987 0.5000  10 Ac 3.73-3.96
La 0.7013 0.2013 0.5000  10 Ac 3.73-3.96
Y 0.0000 0.5000 0.5000  4 Ac 3.56

## Properties
The calculation puts the volume at 475 Å³/f.u. As for the space-group type: No. 71.

=====

B) is favored, and the nearest alternative lies 23.7 kJ/mol of atoms above it.

=====

A) A geometry-optimized AcLa5Y2 structure, computed with PBE-GGA.

a = 9.6163 Å, b = 9.6163 Å, c = 9.6163 Å
α = 123.61°, β = 123.61°, γ = 83.86°
Last column: nearest neighbours and their distance in Å.
Atoms (fractional coordinates):
Ac 0.2500 0.2500 0.0000  10 La 3.58-3.68
Ac 0.7500 0.7500 0.0000  10 La 3.58-3.68
La 0.0000 0.0000 0.0000  4 Y 3.48, 2 Ac 3.58
La 0.0161 0.5161 0.2045  3 Y 3.54-3.55, 4 La 3.60-3.80, 2 Ac 3.68
La 0.1884 0.9839 0.5000  3 Y 3.54-3.55, 4 La 3.60-3.80, 2 Ac 3.68
La 0.3116 0.8116 0.7955  3 Y 3.54-3.55, 4 La 3.60-3.80, 2 Ac 3.68
La 0.4839 0.6884 0.5000  3 Y 3.54-3.55, 4 La 3.60-3.80, 2 Ac 3.68
La 0.5000 0.5000 0.0000  4 Y 3.48, 2 Ac 3.58
La 0.5161 0.3116 0.5000  3 Y 3.54-3.55, 4 La 3.60-3.80, 2 Ac 3.68
La 0.6884 0.1884 0.2045  3 Y 3.54-3.55, 4 La 3.60-3.80, 2 Ac 3.68
La 0.8116 0.0161 0.5000  3 Y 3.54-3.55, 4 La 3.60-3.80, 2 Ac 3.68
La 0.9839 0.4839 0.7955  3 Y 3.54-3.55, 4 La 3.60-3.80, 2 Ac 3.68
Y 0.1455 0.3545 0.5000  8 La 3.48-3.55, 1 Y 3.74
Y 0.3545 0.8545 0.2090  8 La 3.48-3.55, 1 Y 3.74
Y 0.6455 0.1455 0.7910  8 La 3.48-3.55, 1 Y 3.74
Y 0.8545 0.6455 0.5000  8 La 3.48-3.55, 1 Y 3.74

## Properties
The calculation puts the volume at 295 Å³/f.u. As for the space-group type: No. 140.

=====

B) A geometry-optimized AcLa5Y2 structure, computed with PBE-GGA.

a = 7.4526 Å, b = 14.9023 Å, c = 5.2607 Å
α = 90.00°, β = 90.00°, γ = 90.00°
Last column: nearest neighbours and their distance in Å.
Atoms (fractional coordinates):
Ac 0.0000 0.0000 0.0000  8 La 3.73-3.75, 4 Y 3.73
Ac 0.5000 0.5000 0.0000  8 La 3.73-3.75, 4 Y 3.73
La 0.9996 0.2518 0.0000  7 La 3.69-3.74, 4 Y 3.70-3.73, 1 Ac 3.75
La 0.0000 0.5000 0.0000  6 La 3.70-3.72, 2 Ac 3.73, 4 Y 3.73
La 0.0004 0.7482 0.0000  7 La 3.69-3.74, 4 Y 3.70-3.73, 1 Ac 3.75
La 0.2465 0.3734 0.5000  4 Y 3.68-3.77, 6 La 3.69-3.74, 2 Ac 3.75
La 0.2535 0.8734 0.5000  4 Y 3.68-3.77, 6 La 3.69-3.74, 2 Ac 3.75
La 0.5000 0.0000 0.0000  6 La 3.70-3.72, 2 Ac 3.73, 4 Y 3.73
La 0.4996 0.2482 0.0000  7 La 3.69-3.74, 4 Y 3.70-3.73, 1 Ac 3.75
La 0.5004 0.7518 0.0000  7 La 3.69-3.74, 4 Y 3.70-3.73, 1 Ac 3.75
La 0.7465 0.1266 0.5000  4 Y 3.68-3.77, 6 La 3.69-3.74, 2 Ac 3.75
La 0.7535 0.6266 0.5000  4 Y 3.68-3.77, 6 La 3.69-3.74, 2 Ac 3.75
Y 0.2504 0.1262 0.5000  10 La 3.68-3.77, 2 Ac 3.73
Y 0.2496 0.6262 0.5000  10 La 3.68-3.77, 2 Ac 3.73
Y 0.7504 0.3738 0.5000  10 La 3.68-3.77, 2 Ac 3.73
Y 0.7496 0.8738 0.5000  10 La 3.68-3.77, 2 Ac 3.73

## Properties
The calculation puts the volume at 292 Å³/f.u. As for the space-group type: No. 55.

=====

B) is favored, and the nearest alternative lies 11.7 kJ/mol of atoms above it.